An optimized crystal structure of NbOs2RuC. Source: Alexandria via LeMat-Bulk, functional PBEsol.

a b c (Å): 4.041 4.041 4.040
angles (deg): 90.00 90.00 90.00
Sites, in units of the cell vectors:
Nb  0.000  0.000  0.000
Os  0.000  0.500  0.500
Os  0.500  0.000  0.500
Ru  0.500  0.500  0.000
C  0.500  0.500  0.500

Output
DFT formation energy   0.103 eV per atom



An optimized crystal structure of Nb2RePC. Source: Alexandria via LeMat-Bulk, functional PBEsol.

a b c (Å): 4.863 4.863 4.312
angles (deg): 90.00 90.00 90.00
Sites, in units of the cell vectors:
Nb  0.000  0.500  0.000
Nb  0.500  0.000  0.000
Re  0.000  0.000  0.000
P  0.000  0.000  0.500
C  0.500  0.500  0.500

Output
DFT formation energy   2.172 eV per atom



An optimized crystal structure of NbPdRu2C. Source: Alexandria via LeMat-Bulk, functional PBEsol.

a b c (Å): 3.984 3.984 4.218
angles (deg): 90.00 90.00 90.00
Sites, in units of the cell vectors:
Nb  0.000  0.000  0.000
Pd  0.500  0.500  0.000
Ru  0.000  0.500  0.500
Ru  0.500  0.000  0.500
C  0.000  0.000  0.500

Output
DFT formation energy   0.014 eV per atom



An optimized crystal structure of RbNbPtC2. Source: Alexandria via LeMat-Bulk, functional PBEsol.

a b c (Å): 4.122 4.122 6.287
angles (deg): 90.00 90.00 90.00
Sites, in units of the cell vectors:
Rb  0.000  0.000  0.000
Nb  0.000  0.000  0.500
Pt  0.500  0.500  0.000
C  0.000  0.500  0.500
C  0.500  0.000  0.500

Output
DFT formation energy   2.241 eV per atom



An optimized crystal structure of Rb2NbTeC. Source: Alexandria via LeMat-Bulk, functional PBEsol.

a b c (Å): 6.911 6.911 5.251
angles (deg): 90.00 90.00 90.00
Sites, in units of the cell vectors:
Rb  0.000  0.500  0.000
Rb  0.500  0.000  0.000
Nb  0.000  0.000  0.000
Te  0.000  0.000  0.500
C  0.500  0.500  0.500

Output
Formation energy (no corrections)   1.693 eV per atom



An optimized crystal structure of NbReC3. Source: Alexandria via LeMat-Bulk, functional PBEsol.

a b c (Å): 4.034 4.034 4.034
angles (deg): 90.00 90.00 90.00
Sites, in units of the cell vectors:
Nb  0.000  0.000  0.000
Re  0.500  0.500  0.500
C  0.000  0.000  0.500
C  0.000  0.500  0.000
C  0.500  0.000  0.000

Output
DFT formation energy   2.711 eV per atom



An optimized crystal structure of Nb3RhC. Source: Alexandria via LeMat-Bulk, functional PBEsol.

a b c (Å): 4.233 4.233 4.233
angles (deg): 90.00 90.00 90.00
Sites, in units of the cell vectors:
Nb  0.000  0.000  0.500
Nb  0.000  0.500  0.000
Nb  0.500  0.000  0.000
Rh  0.500  0.500  0.500
C  0.000  0.000  0.000

Output
DFT formation energy   -0.200 eV per atom



An optimized crystal structure of Nb4Rh2C. Source: Alexandria via LeMat-Bulk, functional PBEsol.

a b c (Å): 8.402 8.402 8.402
angles (deg): 60.00 60.00 60.00
Sites, in units of the cell vectors:
Nb  0.000  0.000  0.000
Nb  0.000  0.000  0.500
Nb  0.000  0.500  0.000
Nb  0.191  0.191  0.559
Nb  0.191  0.559  0.191
Nb  0.191  0.559  0.559
Nb  0.441  0.441  0.809
Nb  0.441  0.809  0.441
Nb  0.441  0.809  0.809
Nb  0.500  0.000  0.000
Nb  0.559  0.191  0.191
Nb  0.559  0.191  0.559
Nb  0.559  0.559  0.191
Nb  0.809  0.441  0.441
Nb  0.809  0.441  0.809
Nb  0.809  0.809  0.441
Rh  0.137  0.788  0.788
Rh  0.212  0.212  0.212
Rh  0.212  0.212  0.863
Rh  0.212  0.863  0.212
Rh  0.788  0.137  0.788
Rh  0.788  0.788  0.137
Rh  0.788  0.788  0.788
Rh  0.863  0.212  0.212
C  0.000  0.500  0.500
C  0.500  0.000  0.500
C  0.500  0.500  0.000
C  0.500  0.500  0.500

Output
DFT formation energy   -0.418 eV per atom



An optimized crystal structure of NbTlRuC2. Source: Alexandria via LeMat-Bulk, functional PBEsol.

a b c (Å): 3.964 3.964 5.152
angles (deg): 90.00 90.00 90.00
Sites, in units of the cell vectors:
Nb  0.000  0.000  0.000
Tl  0.500  0.500  0.000
Ru  0.000  0.000  0.500
C  0.000  0.500  0.500
C  0.500  0.000  0.500

Output
DFT formation energy   1.517 eV per atom



An optimized crystal structure of Nb3CS. Source: Alexandria via LeMat-Bulk, functional PBEsol.

a b c (Å): 4.470 4.470 4.470
angles (deg): 90.00 90.00 90.00
Sites, in units of the cell vectors:
Nb  0.000  0.000  0.500
Nb  0.000  0.500  0.000
Nb  0.500  0.000  0.000
C  0.500  0.500  0.500
S  0.000  0.000  0.000

Output
Formation energy (no corrections)   1.419 eV per atom



An optimized crystal structure of Nb2CS2. Source: Alexandria via LeMat-Bulk, functional PBEsol.

a b c (Å): 3.255 3.255 8.655
angles (deg): 90.00 90.00 120.00
Sites, in units of the cell vectors:
Nb  0.333  0.667  0.138
Nb  0.667  0.333  0.862
C  0.000  0.000  0.000
S  0.333  0.667  0.672
S  0.667  0.333  0.328

Output
Formation energy (no corrections)   -0.924 eV per atom



An optimized crystal structure of Nb2CS2. Source: Alexandria via LeMat-Bulk, functional PBEsol.

a b c (Å): 8.865 8.865 8.865
angles (deg): 21.18 21.18 21.18
Sites, in units of the cell vectors:
Nb  0.121  0.121  0.121
Nb  0.879  0.879  0.879
C  0.500  0.500  0.500
S  0.276  0.276  0.276
S  0.724  0.724  0.724

Output
Formation energy (no corrections)   -0.923 eV per atom



An optimized crystal structure of Nb2CS. Source: Alexandria via LeMat-Bulk, functional PBEsol.

a b c (Å): 3.282 3.282 11.629
angles (deg): 90.00 90.00 120.00
Sites, in units of the cell vectors:
Nb  0.333  0.667  0.096
Nb  0.333  0.667  0.404
Nb  0.667  0.333  0.596
Nb  0.667  0.333  0.904
C  0.000  0.000  0.000
C  0.000  0.000  0.500
S  0.333  0.667  0.750
S  0.667  0.333  0.250

Output
Formation energy (no corrections)   -0.868 eV per atom



An optimized crystal structure of ScNbC2. Source: Alexandria via LeMat-Bulk, functional PBEsol.

a b c (Å): 3.970 3.970 3.970
angles (deg): 60.00 60.00 60.00
Sites, in units of the cell vectors:
Sc  0.000  0.000  0.000
Nb  0.500  0.500  0.500
C  0.250  0.250  0.250
C  0.750  0.750  0.750

Output
DFT formation energy   0.480 eV per atom



An optimized crystal structure of Nb4SiC3. Source: Alexandria via LeMat-Bulk, functional PBEsol.

a b c (Å): 3.172 3.172 22.926
angles (deg): 90.00 90.00 120.00
Sites, in units of the cell vectors:
Nb  0.000  0.000  0.164
Nb  0.000  0.000  0.336
Nb  0.000  0.000  0.664
Nb  0.000  0.000  0.836
Nb  0.333  0.667  0.058
Nb  0.333  0.667  0.442
Nb  0.667  0.333  0.558
Nb  0.667  0.333  0.942
Si  0.333  0.667  0.250
Si  0.667  0.333  0.750
C  0.000  0.000  0.000
C  0.000  0.000  0.500
C  0.333  0.667  0.613
C  0.333  0.667  0.887
C  0.667  0.333  0.113
C  0.667  0.333  0.387

Output
Formation energy (no corrections)   -0.572 eV per atom



An optimized crystal structure of YNb2SiC. Source: Alexandria via LeMat-Bulk, functional PBEsol.

a b c (Å): 4.869 4.869 4.910
angles (deg): 90.00 90.00 90.00
Sites, in units of the cell vectors:
Y  0.000  0.000  0.000
Nb  0.000  0.500  0.000
Nb  0.500  0.000  0.000
Si  0.000  0.000  0.500
C  0.500  0.500  0.500

Output
Formation energy (no corrections)   3.159 eV per atom



An optimized crystal structure of TaNbC2. Source: Alexandria via LeMat-Bulk, functional PBEsol.

a b c (Å): 3.927 3.927 3.927
angles (deg): 60.00 60.00 60.00
Sites, in units of the cell vectors:
Ta  0.000  0.000  0.000
Nb  0.500  0.500  0.500
C  0.250  0.250  0.250
C  0.750  0.750  0.750

Output
DFT formation energy   0.362 eV per atom
Distance to the lowest polymorph of the same formula   969 meV per atom



An optimized crystal structure of TaNbC2. Source: Alexandria via LeMat-Bulk, functional PBEsol.

a b c (Å): 5.466 5.466 5.466
angles (deg): 33.50 33.50 33.50
Sites, in units of the cell vectors:
Ta  0.000  0.000  0.000
Nb  0.500  0.500  0.500
C  0.252  0.252  0.252
C  0.748  0.748  0.748

Output
DFT formation energy   -0.607 eV per atom
Distance to the lowest polymorph of the same formula   0 meV per atom



An optimized crystal structure of Ta2Ti2NbC5. Source: Alexandria via LeMat-Bulk, functional PBEsol.

a b c (Å): 12.783 12.783 12.783
angles (deg): 13.99 13.99 13.99
Sites, in units of the cell vectors:
Ta  0.000  0.000  0.000
Ta  0.402  0.402  0.402
Ti  0.199  0.199  0.199
Ti  0.801  0.801  0.801
Nb  0.598  0.598  0.598
C  0.102  0.102  0.102
C  0.300  0.300  0.300
C  0.500  0.500  0.500
C  0.701  0.701  0.701
C  0.898  0.898  0.898

Output
DFT formation energy   -0.745 eV per atom



An optimized crystal structure of YTaNbC2. Source: Alexandria via LeMat-Bulk, functional PBEsol.

a b c (Å): 4.211 4.211 5.146
angles (deg): 90.00 90.00 90.00
Sites, in units of the cell vectors:
Y  0.000  0.000  0.000
Ta  0.500  0.500  0.500
Nb  0.000  0.000  0.500
C  0.000  0.500  0.000
C  0.500  0.000  0.000

Output
DFT formation energy   2.755 eV per atom



An optimized crystal structure of NbZn2TcC. Source: Alexandria via LeMat-Bulk, functional PBEsol.

a b c (Å): 4.970 4.970 4.490
angles (deg): 90.00 90.00 90.00
Sites, in units of the cell vectors:
Nb  0.000  0.000  0.000
Zn  0.000  0.500  0.000
Zn  0.500  0.000  0.000
Tc  0.000  0.000  0.500
C  0.500  0.500  0.500

Output
DFT formation energy   2.718 eV per atom



An optimized crystal structure of NbTe2C. Source: Alexandria via LeMat-Bulk, functional PBEsol.

a b c (Å): 6.425 6.425 6.425
angles (deg): 124.26 124.26 82.77
Sites, in units of the cell vectors:
Nb  0.000  0.000  0.000
Nb  0.750  0.250  0.500
Te  0.185  0.125  0.560
Te  0.375  0.815  0.940
Te  0.565  0.625  0.440
Te  0.875  0.435  0.060
C  0.250  0.750  0.500
C  0.500  0.500  0.000

Output
Formation energy (no corrections)   1.108 eV per atom



An optimized crystal structure of NbTe2C. Source: Alexandria via LeMat-Bulk, functional PBEsol.

a b c (Å): 8.660 8.660 8.660
angles (deg): 21.75 21.75 21.75
Sites, in units of the cell vectors:
Nb  0.000  0.000  0.000
Te  0.106  0.106  0.106
Te  0.894  0.894  0.894
C  0.500  0.500  0.500

Output
Formation energy (no corrections)   1.367 eV per atom



An optimized crystal structure of TiNbC2. Source: Alexandria via LeMat-Bulk, functional PBEsol.

a b c (Å): 5.369 5.369 5.369
angles (deg): 33.61 33.61 33.61
Sites, in units of the cell vectors:
Ti  0.000  0.000  0.000
Nb  0.500  0.500  0.500
C  0.253  0.253  0.253
C  0.747  0.747  0.747

Output
DFT formation energy   -0.746 eV per atom



An optimized crystal structure of TiNb3C. Source: Alexandria via LeMat-Bulk, functional PBEsol.

a b c (Å): 4.301 4.301 4.301
angles (deg): 90.00 90.00 90.00
Sites, in units of the cell vectors:
Ti  0.000  0.000  0.000
Nb  0.000  0.500  0.500
Nb  0.500  0.000  0.500
Nb  0.500  0.500  0.000
C  0.500  0.500  0.500

Output
DFT formation energy   -0.114 eV per atom



An optimized crystal structure of NbTlC2. Source: Alexandria via LeMat-Bulk, functional PBEsol.

a b c (Å): 4.131 4.131 4.131
angles (deg): 60.00 60.00 60.00
Sites, in units of the cell vectors:
Nb  0.000  0.000  0.000
Tl  0.500  0.500  0.500
C  0.250  0.250  0.250
C  0.750  0.750  0.750

Output
DFT formation energy   1.873 eV per atom



An optimized crystal structure of UNbC2. Source: Alexandria via LeMat-Bulk, functional PBEsol.

a b c (Å): 5.882 5.882 5.882
angles (deg): 31.89 31.89 31.89
Sites, in units of the cell vectors:
U  0.000  0.000  0.000
Nb  0.500  0.500  0.500
C  0.243  0.243  0.243
C  0.757  0.757  0.757

Output
DFT formation energy   -0.455 eV per atom